The following is a PBE calculation of crystalline Ba2Zn3Ag4Au at its relaxed geometry, from Alexandria.

abc: 4.818 4.818 10.523
angles: 90.00 90.00 90.00
Positions (direct):
Ba 0.000 0.500 0.246
Ba 0.500 0.000 0.754
Zn 0.000 0.000 0.000
Zn 0.000 0.500 0.615
Zn 0.500 0.000 0.385
Ag 0.000 0.000 0.500
Ag 0.000 0.500 0.865
Ag 0.500 0.000 0.135
Ag 0.500 0.500 0.500
Au 0.500 0.500 0.000

Space-group type = P-4m2
DFT formation energy = -241 meV per atom
Fermi-level density of states = 4.54 states/eV/cell
Volume = 244.23 Å³ per cell